First-principles (GGA+U) data for a geometry-optimized CaDy2MoO6 structure, as listed in Alexandria via LeMat-Bulk.

The structure in POSCAR format:
```
CaDy2MoO6
1.0
-0.6052 5.0333 -2.6622
-5.1171 2.4407 -0.3547
-1.0253 4.9511 3.2819
Ca Dy Mo O
1 2 1 6
Direct
0.8025 0.8057 0.5839 Ca
0.5257 0.5263 0.4159 Dy
0.0167 0.0276 0.9351 Dy
0.3169 0.3168 0.0431 Mo
0.5973 0.2102 0.2502 O
0.2212 0.9508 0.2424 O
0.9526 0.5876 0.2427 O
0.4073 0.6874 0.7736 O
0.6901 0.1382 0.7662 O
0.1312 0.4111 0.7619 O
```

Output
Volume = 14.12 A^3/atom
Total DFT energy (no corrections) = -7.70 eV per atom